Entry 1:
Below is a geometry-optimized Na4Hg2Sb2Au structure, with properties calculated at the PBE-GGA level.

Computed properties:
- Volume: 29.30 Å³/atom
- Energy relative to the elements, uncorrected: -265 meV per atom
- Space-group type: C2/m, No. 12

Cell lengths 7.4037, 7.4037, 5.5861 Å; angles 97.58, 97.58, 60.62 degrees
With the nearest neighbours (Å) after each atom.
Fractional positions:
Na: 0.1021 0.6302 0.7468  1 Au 2.94, 2 Sb 3.14-3.23
Na: 0.3698 0.8979 0.2532  1 Au 2.94, 2 Sb 3.14-3.23
Na: 0.6302 0.1021 0.7468  1 Au 2.94, 2 Sb 3.14-3.23
Na: 0.8979 0.3698 0.2532  1 Au 2.94, 2 Sb 3.14-3.23
Hg: 0.4090 0.4090 0.2457  1 Hg 3.39, 6 Na 3.39-3.54, 1 Sb 3.56
Hg: 0.5910 0.5910 0.7543  1 Hg 3.39, 6 Na 3.39-3.54, 1 Sb 3.56
Sb: 0.1796 0.1796 0.7966  1 Au 2.62
Sb: 0.8204 0.8204 0.2034  1 Au 2.62
Au: 0.0000 0.0000 0.5000  2 Sb 2.62

***

Entry 2:
Below is a geometry-optimized Pr4Dy3Y4 structure, with properties calculated at the PBE-GGA level.

Computed properties:
- Volume: 34.04 Å³/atom
- Space-group type: Amm2, No. 38
- Offset from the most stable computed form: 0.023 eV/atom

Cell lengths 10.7364, 6.7216, 6.7216 Å; angles 50.52, 90.00, 90.00 degrees
With the nearest neighbours (Å) after each atom.
Fractional positions:
Pr: 0.0000 0.0000 0.0000  2 Y 3.08, 2 Pr 3.31
Pr: 0.2067 0.7984 0.7984  2 Pr 3.31-3.48, 4 Y 3.35-3.64, 4 Dy 3.51-3.63
Pr: 0.5000 0.9197 0.9197  3 Y 3.30-3.44, 2 Pr 3.48, 4 Dy 3.67
Pr: 0.7933 0.7984 0.7984  2 Pr 3.31-3.48, 4 Y 3.35-3.64, 4 Dy 3.51-3.63
Dy: 0.0000 0.2938 0.2938  7 Pr 3.57-3.81, 5 Y 3.63-3.77, 2 Dy 3.63
Dy: 0.2894 0.4476 0.4476  5 Y 3.32-3.72, 4 Pr 3.51-3.67, 1 Dy 3.63
Dy: 0.7106 0.4476 0.4476  5 Y 3.32-3.72, 4 Pr 3.51-3.67, 1 Dy 3.63
Y: 0.0000 0.5920 0.5920  4 Pr 3.08-3.35
Y: 0.3007 0.1417 0.1417  4 Pr 3.44-3.66, 2 Y 3.58, 4 Dy 3.72
Y: 0.5000 0.6481 0.6481  3 Pr 3.30-3.64, 2 Dy 3.32, 4 Y 3.58
Y: 0.6993 0.1417 0.1417  4 Pr 3.44-3.66, 2 Y 3.58, 4 Dy 3.72

***

Short version: electronic total energy = -19.790, -57.163 eV per cell, in the order given.